Entry 1:
# Mg5Sc12Be3, optimized geometry, DFT PBE-GGA
# - Theoretical density: 2.08 g/cm³
# - E_form: 0.729 eV per atom
# - Total DFT energy (no corrections): -4.03 eV/atom
data_Mg5Sc12Be3
_cell_length_a 16.3804
_cell_length_b 16.3804
_cell_length_c 16.3804
_cell_angle_alpha 90.00
_cell_angle_beta 90.00
_cell_angle_gamma 90.00
_space_group_name_H-M_alt 'I a -3 d'
_space_group_IT_number 230
_space_group_name_Hall '-I 4bd 2c 3'
loop_
_atom_site_label
_atom_site_fract_x
_atom_site_fract_y
_atom_site_fract_z
Mg1 0.0000 0.0000 0.0000
Mg2 0.0000 0.2500 0.3750
Sc1 0.0068 0.0875 0.6482
Be1 0.0000 0.2500 0.1250

Entry 2:
# MgScBe, optimized geometry, DFT PBE-GGA
# - Theoretical density: 2.39 g/cm³
# - E_form: 0.293 eV per atom
# - Total DFT energy (no corrections): -3.59 eV/atom
data_MgScBe
_cell_length_a 2.9765
_cell_length_b 4.2917
_cell_length_c 8.5107
_cell_angle_alpha 90.00
_cell_angle_beta 90.00
_cell_angle_gamma 90.00
_space_group_name_H-M_alt 'I m m 2'
_space_group_IT_number 44
loop_
_space_group_symop_operation_xyz
'x,y,z'
'-x,-y,z'
'-x,y,z'
'x,-y,z'
'x+1/2,y+1/2,z+1/2'
'-x+1/2,-y+1/2,z+1/2'
'-x+1/2,y+1/2,z+1/2'
'x+1/2,-y+1/2,z+1/2'
loop_
_atom_site_label
_atom_site_fract_x
_atom_site_fract_y
_atom_site_fract_z
Mg1 0.0000 0.0000 0.0000
Sc1 0.0000 0.0000 0.6749
Be1 0.0000 0.0000 0.3291

Entry 3:
# MgScBe, optimized geometry, DFT PBE-GGA
# - Theoretical density: 2.42 g/cm³
# - E_form: 0.076 eV per atom
# - Total DFT energy (no corrections): -3.81 eV/atom
data_MgScBe
_cell_length_a 3.1307
_cell_length_b 14.5043
_cell_length_c 4.7359
_cell_angle_alpha 90.00
_cell_angle_beta 90.00
_cell_angle_gamma 90.00
_space_group_name_H-M_alt 'C m c m'
_space_group_IT_number 63
_space_group_name_Hall '-C 2c 2'
loop_
_atom_site_label
_atom_site_fract_x
_atom_site_fract_y
_atom_site_fract_z
Mg1 0.0000 0.2209 0.2500
Sc1 0.0000 0.0769 0.7500
Be1 0.0000 0.4261 0.7500

Entry 4:
# SmMgScBe, optimized geometry, DFT PBE-GGA
# - Theoretical density: 4.32 g/cm³
# - E_form: 0.096 eV per atom
# - Total DFT energy (no corrections): -4.00 eV/atom
data_SmMgScBe
_cell_length_a 7.0585
_cell_length_b 7.0585
_cell_length_c 7.0585
_cell_angle_alpha 90.00
_cell_angle_beta 90.00
_cell_angle_gamma 90.00
_space_group_name_H-M_alt 'F -4 3 m'
_space_group_IT_number 216
_space_group_name_Hall 'F -4 2 3'
loop_
_atom_site_label
_atom_site_fract_x
_atom_site_fract_y
_atom_site_fract_z
Sm1 0.0000 0.0000 0.0000
Mg1 0.2500 0.2500 0.2500
Sc1 0.0000 0.0000 0.5000
Be1 0.2500 0.2500 0.7500

Entry 5:
# MgScBeSn2, optimized geometry, DFT PBE-GGA
# - Theoretical density: 3.67 g/cm³
# - E_form: 0.986 eV per atom
# - Total DFT energy (no corrections): -2.95 eV/atom
data_MgScBeSn2
_cell_length_a 5.1892
_cell_length_b 5.1892
_cell_length_c 5.3015
_cell_angle_alpha 90.00
_cell_angle_beta 90.00
_cell_angle_gamma 90.00
_space_group_name_H-M_alt 'P 4/m m m'
_space_group_IT_number 123
_space_group_name_Hall '-P 4 2'
loop_
_atom_site_label
_atom_site_fract_x
_atom_site_fract_y
_atom_site_fract_z
Mg1 0.0000 0.0000 0.0000
Sc1 0.0000 0.0000 0.5000
Be1 0.5000 0.5000 0.5000
Sn1 0.0000 0.5000 0.0000

Entry 6:
# MgScTi2Be, optimized geometry, DFT PBE-GGA
# - Theoretical density: 2.94 g/cm³
# - E_form: 0.360 eV per atom
# - Total DFT energy (no corrections): -5.13 eV/atom
data_MgScTi2Be
_cell_length_a 4.5124
_cell_length_b 4.5124
_cell_length_c 4.8223
_cell_angle_alpha 90.00
_cell_angle_beta 90.00
_cell_angle_gamma 90.00
_space_group_name_H-M_alt 'P 4/m m m'
_space_group_IT_number 123
_space_group_name_Hall '-P 4 2'
loop_
_atom_site_label
_atom_site_fract_x
_atom_site_fract_y
_atom_site_fract_z
Mg1 0.0000 0.0000 0.0000
Sc1 0.5000 0.5000 0.0000
Ti1 0.0000 0.5000 0.5000
Be1 0.5000 0.5000 0.5000

Entry 7:
# TmMgScBe, optimized geometry, DFT PBE-GGA
# - Theoretical density: 4.92 g/cm³
# - E_form: 0.081 eV per atom
# - Total DFT energy (no corrections): -3.95 eV/atom
data_TmMgScBe
_cell_length_a 6.9384
_cell_length_b 6.9384
_cell_length_c 6.9384
_cell_angle_alpha 90.00
_cell_angle_beta 90.00
_cell_angle_gamma 90.00
_space_group_name_H-M_alt 'F -4 3 m'
_space_group_IT_number 216
_space_group_name_Hall 'F -4 2 3'
loop_
_atom_site_label
_atom_site_fract_x
_atom_site_fract_y
_atom_site_fract_z
Tm1 0.0000 0.0000 0.0000
Mg1 0.2500 0.2500 0.7500
Sc1 0.0000 0.0000 0.5000
Be1 0.2500 0.2500 0.2500

Entry 8:
# YMgScBe, optimized geometry, DFT PBE-GGA
# - Theoretical density: 3.24 g/cm³
# - E_form: 0.072 eV per atom
# - Total DFT energy (no corrections): -4.46 eV/atom
data_YMgScBe
_cell_length_a 6.9994
_cell_length_b 6.9994
_cell_length_c 6.9994
_cell_angle_alpha 90.00
_cell_angle_beta 90.00
_cell_angle_gamma 90.00
_space_group_name_H-M_alt 'F -4 3 m'
_space_group_IT_number 216
_space_group_name_Hall 'F -4 2 3'
loop_
_atom_site_label
_atom_site_fract_x
_atom_site_fract_y
_atom_site_fract_z
Y1 0.0000 0.0000 0.0000
Mg1 0.2500 0.2500 0.7500
Sc1 0.0000 0.0000 0.5000
Be1 0.2500 0.2500 0.2500

- Among the records above, which one has the highest total DFT energy (no corrections)?
  MgScBeSn2

- Look up the theoretical density of the seventh one.
  4.92 g/cm³

- What is the E_form in the sixth record?
  0.360 eV per atom